A plane-wave DFT calculation with GGA-PBE was carried out for an optimized crystal structure of Cr2SiNi.

Lattice parameters (Å, degrees): 4.7083 7.6297 2.5480 90.00 90.00 90.00
Closest atoms and distances in Å follow each position.
Space group Cmmm (No. 65)
Inequivalent atoms, fractional coordinates:
Cr1 0.2500 0.2500 0.0000 (multiplicity 4)  4 Cr 2.35-2.55, 4 Ni 2.58, 4 Si 2.58
Si1 0.0000 0.0000 0.5000 (multiplicity 2)  2 Ni 2.35, 2 Si 2.55, 8 Cr 2.58
Ni1 0.0000 0.5000 0.5000 (multiplicity 2)  2 Si 2.35, 2 Ni 2.55, 8 Cr 2.58

Properties
E_form (uncorrected) ... -3.05 kcal/mol of atoms

***

A plane-wave DFT calculation with GGA-PBE was carried out for an optimized crystal structure of CrSi2Ni.

Lattice parameters (Å, degrees): 7.9529 2.5438 4.8912 90.00 105.05 90.00
Closest atoms and distances in Å follow each position.
Space group C2/m (No. 12)
Inequivalent atoms, fractional coordinates:
Cr1 0.0000 0.0000 0.0000 (multiplicity 2)  6 Si 2.45-2.53, 2 Cr 2.54
Si1 0.2425 0.0000 0.7519 (multiplicity 4)  3 Ni 2.37-2.65, 3 Cr 2.45-2.53, 2 Si 2.54
Ni1 0.0000 0.5000 0.5000 (multiplicity 2)  6 Si 2.37-2.65, 2 Ni 2.54

Properties
E_form (uncorrected) ... -4.05 kcal/mol of atoms

***

A plane-wave DFT calculation with GGA-PBE was carried out for an optimized crystal structure of CrSiNi.

Lattice parameters (Å, degrees): 2.6071 4.2342 6.6471 79.34 79.51 73.37
Closest atoms and distances in Å follow each position.
Space group P-1 (No. 2)
Inequivalent atoms, fractional coordinates:
Cr1 0.1642 0.2692 0.4328 (multiplicity 2)  1 Cr 2.18
Si1 0.4972 0.2385 0.7733 (multiplicity 2)  5 Ni 2.37-2.51, 5 Cr 2.54-2.63, 2 Si 2.61
Ni1 0.1731 0.7542 0.9033 (multiplicity 2)  5 Si 2.37-2.51, 5 Ni 2.51-2.62, 2 Cr 2.56-2.57

Properties
E_form (uncorrected) ... -6.40 kcal/mol of atoms

***

A plane-wave DFT calculation with GGA-PBE was carried out for an optimized crystal structure of CrSi2Ni.

Lattice parameters (Å, degrees): 2.9100 2.9100 5.4618 90.00 90.00 90.00
Closest atoms and distances in Å follow each position.
Space group P4/mmm (No. 123)
Inequivalent atoms, fractional coordinates:
Cr1 0.0000 0.0000 0.0000 (multiplicity 1)  8 Si 2.44, 2 Ni 2.73
Si1 0.5000 0.5000 0.2413 (multiplicity 2)  4 Cr 2.44, 4 Ni 2.50, 1 Si 2.64
Ni1 0.0000 0.0000 0.5000 (multiplicity 1)  8 Si 2.50, 2 Cr 2.73

Properties
E_form (uncorrected) ... -5.52 kcal/mol of atoms

***

A plane-wave DFT calculation with GGA-PBE was carried out for an optimized crystal structure of CrSiNi.

Lattice parameters (Å, degrees): 2.5663 2.9789 8.9635 90.00 90.00 90.00
Closest atoms and distances in Å follow each position.
Space group Imm2 (No. 44)
Inequivalent atoms, fractional coordinates:
Cr1 0.0000 0.0000 0.0000 (multiplicity 2)  4 Si 2.48, 2 Cr 2.57, 4 Ni 2.58
Si1 0.0000 0.0000 0.3313 (multiplicity 2)  4 Ni 2.36, 4 Cr 2.48, 2 Si 2.57
Ni1 0.0000 0.0000 0.6863 (multiplicity 2)  4 Si 2.36, 2 Ni 2.57, 4 Cr 2.58

Properties
E_form (uncorrected) ... -3.71 kcal/mol of atoms

***

A plane-wave DFT calculation with GGA-PBE was carried out for an optimized crystal structure of Cr2SiNi.

Lattice parameters (Å, degrees): 3.0279 4.0100 7.5584 90.00 90.00 90.00
Closest atoms and distances in Å follow each position.
Space group Imm2 (No. 44)
Inequivalent atoms, fractional coordinates:
Cr1 0.0000 0.0000 0.0000 (multiplicity 2)  2 Cr 2.33, 4 Si 2.51, 2 Ni 2.54
Cr2 0.0000 0.5000 0.2661 (multiplicity 2)  2 Cr 2.33, 2 Si 2.49, 4 Ni 2.51
Si1 0.0000 0.0000 0.5038 (multiplicity 2)  2 Ni 2.33, 6 Cr 2.49-2.51
Ni1 0.0000 0.5000 0.7696 (multiplicity 2)  2 Si 2.33, 6 Cr 2.51-2.54

Properties
E_form (uncorrected) ... -4.34 kcal/mol of atoms

***

no.,density (g/cm³)
1,6.92
2,5.80
3,6.73
4,5.99
5,6.73
6,6.90